DFT (GGA-PBE) results for Ti2VPd after structural relaxation.

Lattice parameters (Å, degrees): 3.793 3.793 9.662 78.68 78.68 90.00
Site moments in Bohr magnetons follow the coordinates.
Positions (direct):
1 V 0.500 0.500 0.000  1.29
2 V 0.250 0.750 0.500  1.29
3 Pd 0.000 0.000 0.000  0.09
4 Pd 0.750 0.250 0.500  0.09
5 Ti 0.621 0.125 0.250  -0.03
6 Ti 0.129 0.625 0.250  -0.03
7 Ti 0.375 0.379 0.750  -0.03
8 Ti 0.875 0.871 0.750  -0.03

crystal system: tetragonal
calculated total energy: -57.85 eV per cell